(1)
## Tm2HgPd8 (PBE-GGA)

Data for an optimized crystal structure of Tm2HgPd8.

Properties
* final energy: -5.19 eV per atom

abc: 14.6164 4.2084 6.5520
angles: 90.00 107.25 90.00
Closest atoms and distances in Å follow each position.
Space group C2/m (No. 12)
Unique sites:
Tm: 0.2165 0.0000 0.1658 [4 per cell]  9 Pd 2.75-2.98
Hg: 0.0000 0.5000 0.5000 [2 per cell]  12 Pd 2.79-2.99
Pd: 0.0371 0.0000 0.2217 [4 per cell]  1 Tm 2.75, 9 Pd 2.78-3.02, 2 Hg 2.94
Pd: 0.0929 0.5000 0.9504 [4 per cell]  8 Pd 2.84-3.02, 3 Tm 2.86-3.10, 1 Hg 2.86
Pd: 0.1452 0.0000 0.6901 [4 per cell]  3 Tm 2.88-2.98, 7 Pd 2.89-3.01, 2 Hg 2.99
Pd: 0.1737 0.5000 0.4038 [4 per cell]  1 Hg 2.79, 3 Tm 2.80, 8 Pd 2.85-3.05

=====

(2)
## MgSi (PBE-GGA)

Data for an optimized crystal structure of MgSi.

Properties
* formation energy (no corrections): 1.82 kJ per mole of atoms

abc: 4.4406 7.0536 15.0969
angles: 96.86 95.36 90.06
Closest atoms and distances in Å follow each position.
Space group P1 (No. 1)
Unique sites:
Mg: 0.0000 0.0000 0.0000 [1 per cell]  6 Si 2.76-2.99
Mg: 0.0012 0.4929 0.9999 [1 per cell]  6 Si 2.77-2.95
Mg: 0.2966 0.9169 0.6750 [1 per cell]  6 Si 2.73-2.88
Mg: 0.3134 0.4118 0.6720 [1 per cell]  6 Si 2.73-3.03
Mg: 0.3260 0.1149 0.4880 [1 per cell]  6 Si 2.76-2.97
Mg: 0.3289 0.6191 0.4876 [1 per cell]  6 Si 2.75-2.95
Mg: 0.4625 0.7767 0.1274 [1 per cell]  5 Si 2.66-2.72
Mg: 0.5180 0.2871 0.1496 [1 per cell]  5 Si 2.78-3.05
Mg: 0.7568 0.8296 0.3392 [1 per cell]  5 Si 2.76-3.05
Mg: 0.8091 0.3356 0.3625 [1 per cell]  5 Si 2.64-2.73
Mg: 0.8502 0.1957 0.8134 [1 per cell]  6 Si 2.72-2.88
Mg: 0.8683 0.7018 0.8166 [1 per cell]  6 Si 2.73-3.01
Si: 0.2868 0.5072 0.3058 [1 per cell]  2 Si 2.38-2.62
Si: 0.2877 0.1358 0.3058 [1 per cell]  2 Si 2.38-2.62
Si: 0.3605 0.4492 0.8547 [1 per cell]  2 Si 2.36-2.39
Si: 0.3631 0.9690 0.8579 [1 per cell]  2 Si 2.35-2.38
Si: 0.4928 0.7311 0.9510 [1 per cell]  2 Si 2.35-2.36
Si: 0.4999 0.2392 0.9641 [1 per cell]  2 Si 2.38-2.39
Si: 0.7772 0.1423 0.6311 [1 per cell]  2 Si 2.35-2.38
Si: 0.7777 0.6651 0.6342 [1 per cell]  2 Si 2.36-2.39
Si: 0.8471 0.3819 0.5391 [1 per cell]  2 Si 2.35-2.36
Si: 0.8511 0.8737 0.5239 [1 per cell]  2 Si 2.38-2.39
Si: 0.9819 0.9774 0.1810 [1 per cell]  2 Si 2.38-2.63
Si: 0.9829 0.6044 0.1814 [1 per cell]  2 Si 2.38-2.63

=====

(3)
## Li5Ag12Pb3 (PBE-GGA)

Data for an optimized crystal structure of Li5Ag12Pb3.

Properties
* final energy: -2.41 eV per atom

abc: 16.0352 16.0352 16.0352
angles: 90.00 90.00 90.00
Closest atoms and distances in Å follow each position.
Space group Ia-3d (No. 230)
Unique sites:
Li: 0.0000 0.0000 0.0000 [16 per cell]  6 Ag 2.58
Li: 0.0000 0.2500 0.3750 [24 per cell]  4 Ag 2.75
Ag: 0.0093 0.0702 0.6443 [96 per cell]  2 Li 2.58-2.75
Pb: 0.0000 0.2500 0.1250 [24 per cell]  8 Ag 2.90-2.96

=====

(4)
## SrYBS4 (PBE-GGA)

Data for an optimized crystal structure of SrYBS4.

Properties
* formation energy (no corrections): -145.64 kJ per mole of atoms

abc: 6.1797 6.3090 7.9881
angles: 90.00 107.38 90.00
Closest atoms and distances in Å follow each position.
Space group P2_1/m (No. 11)
Unique sites:
Sr: 0.2193 0.2500 0.4286 [2 per cell]  8 S 3.00-3.27
Y: 0.2711 0.2500 0.9472 [2 per cell]  6 S 2.73-2.84
B: 0.2822 0.7500 0.1892 [2 per cell]  4 S 1.93-1.96
S: 0.0933 0.7500 0.3480 [2 per cell]  1 B 1.96
S: 0.1080 0.7500 0.9413 [2 per cell]  1 B 1.95
S: 0.4829 0.5093 0.2355 [4 per cell]  1 B 1.93

=====

Ρ values (in g/cm³) by entry order: 12.0, 2.2, 6.3, 3.5.